This record from Alexandria describes TlInPb2Cl8 after structural relaxation. The functional is PBE.

a b c (Å): 6.760 6.481 8.874
angles (deg): 89.95 90.00 88.97
Atoms (fractional coordinates):
Tl 0.000 0.000 0.500
In 0.000 0.000 0.000
Pb 0.500 0.500 0.754
Pb 0.500 0.500 0.246
Cl 0.149 0.769 0.205
Cl 0.687 0.771 0.000
Cl 0.850 0.231 0.205
Cl 0.851 0.231 0.795
Cl 0.313 0.229 0.000
Cl 0.150 0.769 0.795
Cl 0.625 0.728 0.500
Cl 0.375 0.272 0.500

Calculated values
raw total energy = -3.3647 eV/atom
ΔE_f (raw) = -13.08 eV/f.u.


This record from Alexandria describes TlInPbCl6 after structural relaxation. The functional is PBE.

a b c (Å): 7.209 7.209 6.815
angles (deg): 89.99 90.00 60.00
Atoms (fractional coordinates):
Tl 0.000 0.000 0.000
In 0.333 0.333 0.500
Pb 0.667 0.667 0.500
Cl 0.037 0.348 0.281
Cl 0.348 0.037 0.719
Cl 0.615 0.348 0.719
Cl 0.037 0.615 0.719
Cl 0.348 0.615 0.281
Cl 0.615 0.037 0.281

Calculated values
raw total energy = -3.3296 eV/atom
ΔE_f (raw) = -10.07 eV/f.u.


This record from Alexandria describes Tl3In3PbCl8 after structural relaxation. The functional is PBE.

a b c (Å): 9.118 9.118 9.158
angles (deg): 119.88 90.00 120.00
Atoms (fractional coordinates):
Tl 0.000 0.000 0.000
Tl 0.000 0.500 0.000
Tl 0.500 0.500 0.000
In 0.500 0.000 0.500
In 0.500 0.500 0.500
In 0.000 0.500 0.500
Pb 0.000 0.000 0.500
Cl 0.251 0.502 0.253
Cl 0.749 0.498 0.747
Cl 0.773 0.546 0.274
Cl 0.227 0.454 0.726
Cl 0.773 0.002 0.275
Cl 0.227 0.998 0.725
Cl 0.229 0.002 0.275
Cl 0.771 0.998 0.725

Calculated values
raw total energy = -3.2124 eV/atom
ΔE_f (raw) = -14.39 eV/f.u.